Record 1
Compound: Ce2PdI
Source: the Alexandria database
Functional: PBE
Structure: relaxed

Cell: 4.2379 4.2379 8.2662 Å, 75.15 75.15 60.00°
With the nearest neighbours (Å) after each atom.
Fractional positions:
I1 0.5000 0.5000 0.5000  6 Ce 3.42
Pd1 0.0000 0.0000 0.0000  6 Ce 2.90
Ce1 0.2674 0.2674 0.1979  3 Pd 2.90
Ce2 0.7326 0.7326 0.8021  3 Pd 2.90


Record 2
Compound: LiTl4Si
Source: the Alexandria database
Functional: PBE
Structure: relaxed

Cell: 6.3008 6.3008 6.3008 Å, 60.00 60.00 60.00°
With the nearest neighbours (Å) after each atom.
Fractional positions:
Li1 0.7500 0.7500 0.7500  12 Tl 3.70, 4 Si 3.86
Tl1 0.3746 0.8763 0.3746  6 Tl 3.14-3.16
Tl2 0.8763 0.3746 0.3746  6 Tl 3.14-3.16
Tl3 0.3746 0.3746 0.8763  6 Tl 3.14-3.16
Tl4 0.3746 0.3746 0.3746  6 Tl 3.14-3.16
Si1 0.0000 0.0000 0.0000  12 Tl 3.69, 4 Li 3.86


no.,formation energy without anion corrections (meV per atom),E (eV per atom)
1,-707,-5.3601
2,389,-2.4109